VASP calculation (PBE) on YSb2TePd after structural relaxation.

The calculation puts the uncorrected formation energy at -0.1269 eV per atom. As for the energy above the most stable polymorph in this dataset: 0 meV/atom. The density of states at the Fermi level comes out at 3.031 states/eV/f.u.

It has space group P4/mmm (No. 123), with a = 5.196 Å, b = 5.196 Å, c = 5.385 Å, α = 90.00°, β = 90.00° and γ = 90.00°. The inequivalent atoms are Y at (0.000, 0.000, 0.000), Sb at (0.000, 0.500, 0.500), Te at (0.500, 0.500, 0.000) and Pd at (0.500, 0.500, 0.500).

---

VASP calculation (PBE) on Ge2OsPdBr after structural relaxation.

The calculation puts the uncorrected formation energy at 0.6532 eV per atom. The density of states at the Fermi level comes out at 1.940 states/eV/f.u.

It has space group P4/mmm (No. 123), with a = 4.685 Å, b = 4.685 Å, c = 5.465 Å, α = 90.00°, β = 90.00° and γ = 90.00°. The inequivalent atoms are Ge at (0.000, 0.500, 0.000), Os at (0.000, 0.000, 0.000), Pd at (0.500, 0.500, 0.500) and Br at (0.000, 0.000, 0.500).

---

VASP calculation (PBE) on Sr2TeRh after structural relaxation.

The calculation puts the uncorrected formation energy at -0.5786 eV per atom. The density of states at the Fermi level comes out at 1.796 states/eV/f.u.

It has space group R-3m (No. 166, hexagonal axes), with a = 4.2857 Å, b = 4.2857 Å, c = 24.5688 Å, α = 90.00°, β = 90.00° and γ = 120.00°. The inequivalent atoms are Sr at (0.0000, 0.0000, 0.2464), Te at (0.0000, 0.0000, 0.0000) and Rh at (0.0000, 0.0000, 0.5000).

---

VASP calculation (PBE) on Ba2CrSe after structural relaxation.

The calculation puts the uncorrected formation energy at -0.4501 eV per atom. The density of states at the Fermi level comes out at 2.533 states/eV/f.u.

It has space group Amm2 (No. 38), with a = 4.628 Å, b = 4.715 Å, c = 12.753 Å, α = 90.00°, β = 90.00° and γ = 90.00°. The inequivalent atoms are Ba at (0.000, 0.000, 0.000), Ba at (0.500, 0.000, 0.281), Cr at (0.500, 0.000, 0.578) and Se at (0.000, 0.000, 0.709).

---

VASP calculation (PBE) on SrMn2Pd2 after structural relaxation.

As for the energy above the most stable polymorph in this dataset: 0 meV/atom. The calculation puts the energy of formation at 0.341 eV per atom. The density of states at the Fermi level comes out at 8.616 states/eV/f.u.

It has space group I4/mmm (No. 139), with a = 3.281 Å, b = 3.281 Å, c = 16.369 Å, α = 90.00°, β = 90.00° and γ = 90.00°. The inequivalent atoms are Sr at (0.000, 0.000, 0.000), Mn at (0.000, 0.500, 0.250) and Pd at (0.000, 0.000, 0.376).

---

VASP calculation (PBE) on ZnCrIn2 after structural relaxation.

The calculation puts the energy of formation at 0.319 eV per atom. The density of states at the Fermi level comes out at 3.175 states/eV/f.u.

It has space group R-3m (No. 166, hexagonal axes), with a = 3.2609 Å, b = 3.2609 Å, c = 26.9068 Å, α = 90.00°, β = 90.00° and γ = 120.00°. The inequivalent atoms are Zn at (0.0000, 0.0000, 0.0000), Cr at (0.0000, 0.0000, 0.5000) and In at (0.0000, 0.0000, 0.2494).